The following is a DFT calculation (GGA-PBE) of a relaxed structure of BaRuSe2.

Output
Relative energy among the computed polymorphs (meV/atom): 393
E_form (uncorrected) (meV per atom): -461

Cell and atoms, written as POSCAR:
```
BaRuSe2
1.0
-1.801 1.953 6.927
1.801 -1.953 6.927
1.801 1.953 -6.927
Ba Ru Se
1 1 2
direct
0.000 0.000 0.000
0.252 0.752 0.500
0.372 0.372 0.000
0.684 0.184 0.500
```